(1)
Crystalline CsPu2GaBr8 at its relaxed geometry, computed with PBE.

Total magnetic moment = 10.000 μB per formula unit
Raw formation energy = -31.7 kcal/mol of atoms
E_tot = -62.4 eV per formula unit

The structure in CIF format:
```
data_CsPu2GaBr8
_symmetry_space_group_name_H-M 'P -1'
_symmetry_Int_Tables_number 2
_symmetry_space_group_name_Hall '-P 1'
_cell_length_a 7.240
_cell_length_b 7.640
_cell_length_c 8.989
_cell_angle_alpha 89.96
_cell_angle_beta 89.93
_cell_angle_gamma 86.39
loop_
_atom_site_label
_atom_site_fract_x
_atom_site_fract_y
_atom_site_fract_z
Cs1 0.000 0.000 0.000
Pu1 0.500 0.500 0.257
Ga1 0.000 0.000 0.500
Br1 0.277 0.370 0.500
Br2 0.280 0.818 0.721
Br3 0.281 0.818 0.279
Br4 0.282 0.388 0.000
```

(2)
Crystalline Mg6AlO8 at its relaxed geometry, computed with PBE.

Total magnetic moment = 0.000 μB per formula unit
Raw formation energy = -59.7 kcal/mol of atoms
E_tot = -91.8 eV per formula unit

The structure in CIF format:
```
data_Mg6AlO8
_symmetry_space_group_name_H-M 'F m -3 m'
_symmetry_Int_Tables_number 225
_symmetry_space_group_name_Hall '-F 4 2 3'
_cell_length_a 8.451
_cell_length_b 8.451
_cell_length_c 8.451
_cell_angle_alpha 90.00
_cell_angle_beta 90.00
_cell_angle_gamma 90.00
loop_
_atom_site_label
_atom_site_fract_x
_atom_site_fract_y
_atom_site_fract_z
Mg1 0.000 0.250 0.250
Al1 0.000 0.000 0.000
O1 0.000 0.000 0.228
O2 0.250 0.250 0.250
```

(3)
Crystalline KLiSb2 at its relaxed geometry, computed with PBE.

Total magnetic moment = 0.000 μB per formula unit
Raw formation energy = -5.8 kcal/mol of atoms
E_tot = -12.3 eV per formula unit
Polymorph energy (0 for the lowest one) = 130 meV per atom

The structure in CIF format:
```
data_KLiSb2
_symmetry_space_group_name_H-M 'P 4/m m m'
_symmetry_Int_Tables_number 123
_symmetry_space_group_name_Hall '-P 4 2'
_cell_length_a 4.659
_cell_length_b 4.659
_cell_length_c 5.078
_cell_angle_alpha 90.00
_cell_angle_beta 90.00
_cell_angle_gamma 90.00
loop_
_atom_site_label
_atom_site_fract_x
_atom_site_fract_y
_atom_site_fract_z
K1 0.000 0.000 0.000
Li1 0.500 0.500 0.000
Sb1 0.000 0.500 0.500
```

(4)
Crystalline RbYPb2 at its relaxed geometry, computed with PBE.

Total magnetic moment = 0.000 μB per formula unit
Formation energy = -4.1 kcal/mol of atoms
E_tot = -15.6 eV per formula unit
Polymorph energy (0 for the lowest one) = 141 meV per atom

The structure in CIF format:
```
data_RbYPb2
_symmetry_space_group_name_H-M 'R -3 m'
_symmetry_Int_Tables_number 166
_symmetry_space_group_name_Hall '-R 3 2"'
_cell_length_a 3.8172
_cell_length_b 3.8172
_cell_length_c 33.2983
_cell_angle_alpha 90.00
_cell_angle_beta 90.00
_cell_angle_gamma 120.00
loop_
_atom_site_label
_atom_site_fract_x
_atom_site_fract_y
_atom_site_fract_z
Rb1 0.0000 0.0000 0.0000
Y1 0.0000 0.0000 0.5000
Pb1 0.0000 0.0000 0.2415
```

(5)
Crystalline CaBe3Cl at its relaxed geometry, computed with PBE.

Total magnetic moment = 0.000 μB per formula unit
Raw formation energy = 39.2 kcal/mol of atoms
E_tot = -6.5 eV per formula unit
Polymorph energy (0 for the lowest one) = 699 meV per atom

The structure in CIF format:
```
data_CaBe3Cl
_symmetry_space_group_name_H-M 'P m -3 m'
_symmetry_Int_Tables_number 221
_symmetry_space_group_name_Hall '-P 4 2 3'
_cell_length_a 5.714
_cell_length_b 5.714
_cell_length_c 5.714
_cell_angle_alpha 90.00
_cell_angle_beta 90.00
_cell_angle_gamma 90.00
loop_
_atom_site_label
_atom_site_fract_x
_atom_site_fract_y
_atom_site_fract_z
Ca1 0.000 0.000 0.000
Be1 0.000 0.000 0.500
Cl1 0.500 0.500 0.500
```

(6)
Crystalline TcOsAu at its relaxed geometry, computed with PBE.

Total magnetic moment = 0.000 μB per formula unit
Formation energy = 5.4 kcal/mol of atoms
E_tot = -24.2 eV per formula unit
Polymorph energy (0 for the lowest one) = 44 meV per atom

The structure in CIF format:
```
data_TcOsAu
_symmetry_space_group_name_H-M 'I 4 m m'
_symmetry_Int_Tables_number 107
_symmetry_space_group_name_Hall 'I 4 -2'
_cell_length_a 2.831
_cell_length_b 2.831
_cell_length_c 11.835
_cell_angle_alpha 90.00
_cell_angle_beta 90.00
_cell_angle_gamma 90.00
loop_
_atom_site_label
_atom_site_fract_x
_atom_site_fract_y
_atom_site_fract_z
Tc1 0.000 0.000 0.000
Os1 0.000 0.000 0.365
Au1 0.000 0.000 0.682
```

(7)
Crystalline CaInHgBi at its relaxed geometry, computed with PBE.

Total magnetic moment = 0.000 μB per formula unit
Formation energy = -9.3 kcal/mol of atoms
E_tot = -10.5 eV per formula unit
Polymorph energy (0 for the lowest one) = 0 meV per atom

The structure in CIF format:
```
data_CaInHgBi
_symmetry_space_group_name_H-M 'P m m m'
_symmetry_Int_Tables_number 47
_symmetry_space_group_name_Hall '-P 2 2'
_cell_length_a 4.470
_cell_length_b 4.801
_cell_length_c 5.197
_cell_angle_alpha 90.00
_cell_angle_beta 90.00
_cell_angle_gamma 90.00
loop_
_atom_site_label
_atom_site_fract_x
_atom_site_fract_y
_atom_site_fract_z
Ca1 0.000 0.000 0.000
In1 0.000 0.500 0.500
Hg1 0.500 0.000 0.500
Bi1 0.500 0.500 0.000
```

(8)
Crystalline Hg2MoAs at its relaxed geometry, computed with PBE.

Total magnetic moment = 0.000 μB per formula unit
Formation energy = 4.6 kcal/mol of atoms
E_tot = -15.3 eV per formula unit

The structure in CIF format:
```
data_Hg2MoAs
_symmetry_space_group_name_H-M 'R 3 m'
_symmetry_Int_Tables_number 160
_symmetry_space_group_name_Hall 'R 3 -2"'
_cell_length_a 3.1890
_cell_length_b 3.1890
_cell_length_c 28.3957
_cell_angle_alpha 90.00
_cell_angle_beta 90.00
_cell_angle_gamma 120.00
loop_
_atom_site_label
_atom_site_fract_x
_atom_site_fract_y
_atom_site_fract_z
Hg1 0.0000 0.0000 0.0000
Hg2 0.0000 0.0000 0.2377
Mo1 0.0000 0.0000 0.7490
As1 0.0000 0.0000 0.4761
```